Pr8IrPt5 | PBE | optimized geometry

Lattice parameters (Å, degrees): 7.860 7.860 7.860 109.63 109.63 109.16
Atoms (fractional coordinates):
Pr: 0.002 0.374 0.252
Pr: 0.119 0.254 0.747
Pr: 0.122 0.749 0.748
Pr: 0.251 0.998 0.372
Pr: 0.508 0.372 0.253
Pr: 0.626 0.878 0.628
Pr: 0.628 0.881 0.136
Pr: 0.746 0.492 0.864
Ir: 0.750 0.250 0.500
Pt: 0.000 0.000 0.000
Pt: 0.251 0.625 0.128
Pt: 0.375 0.503 0.626
Pt: 0.497 0.123 0.872
Pt: 0.877 0.749 0.374

The formation energy from the elements is -0.89 eV per atom. The calculation puts the uncorrected energy at -89.79 eV per formula unit. As for the space group: I-4, No. 82.